(1)
VASP calculation (GGA-PBE) on AcDyCuRh after structural relaxation.

Computed properties:
SG = F-43m (216)
Calculated volume = 94 Å³ per cell
E = -0.1992 hartree per atom

Unit cell a=5.109 b=5.109 c=5.109 alpha=60.00 beta=60.00 gamma=60.00
Fractional positions:
Ac: 0.500 0.500 0.500
Rh: 0.250 0.250 0.250
Cu: 0.750 0.750 0.750
Dy: 0.000 0.000 0.000

=====

(2)
VASP calculation (GGA-PBE) on AcDyCuRu after structural relaxation.

Computed properties:
SG = F-43m (216)
Calculated volume = 92 Å³ per cell
E = -0.2079 hartree per atom

Unit cell a=5.068 b=5.068 c=5.068 alpha=60.00 beta=60.00 gamma=60.00
Fractional positions:
Ru: 0.750 0.750 0.750
Ac: 0.000 0.000 0.000
Cu: 0.250 0.250 0.250
Dy: 0.500 0.500 0.500

=====

(3)
VASP calculation (GGA-PBE) on Ac2DyCuS5 after structural relaxation.

Computed properties:
SG = Cmc2_1 (36)
Calculated volume = 423 Å³ per cell
E = -0.2214 hartree per atom

Unit cell a=4.068 b=8.679 c=12.328 alpha=90.00 beta=90.00 gamma=103.55
Fractional positions:
Ac: 0.881 0.763 0.842
Ac: 0.118 0.236 0.695
Ac: 0.119 0.237 0.342
Ac: 0.882 0.764 0.195
Dy: 0.820 0.640 0.523
Dy: 0.180 0.360 0.023
Cu: 0.553 0.106 0.927
Cu: 0.447 0.894 0.427
S: 0.343 0.687 0.019
S: 0.690 0.380 0.869
S: 0.496 0.993 0.757
S: 0.303 0.606 0.677
S: 0.978 0.957 0.514
S: 0.657 0.313 0.519
S: 0.310 0.620 0.369
S: 0.504 0.007 0.257
S: 0.697 0.394 0.177
S: 0.022 0.043 0.014

=====

(4)
VASP calculation (GGA-PBE) on Ac2DyCu2S6 after structural relaxation.

Computed properties:
SG = R-3m (166)
Calculated volume = 289 Å³ per cell
E = -0.1992 hartree per atom

Unit cell a=7.048 b=7.048 c=7.848 alpha=63.32 beta=63.32 gamma=60.00
Fractional positions:
Ac: 0.794 0.794 0.619
Ac: 0.206 0.206 0.381
Dy: 0.000 0.000 0.000
Cu: 0.429 0.429 0.714
Cu: 0.571 0.571 0.286
S: 0.750 0.750 0.283
S: 0.217 0.750 0.283
S: 0.750 0.217 0.283
S: 0.250 0.783 0.717
S: 0.783 0.250 0.717
S: 0.250 0.250 0.717

=====

(5)
VASP calculation (GGA-PBE) on Ac2DyCu2Se6 after structural relaxation.

Computed properties:
SG = R-3m (166)
Calculated volume = 335 Å³ per cell
E = -0.1802 hartree per atom

Unit cell a=7.420 b=7.420 c=8.233 alpha=63.22 beta=63.22 gamma=60.00
Fractional positions:
Ac: 0.795 0.795 0.615
Ac: 0.205 0.205 0.385
Dy: 0.000 0.000 0.000
Cu: 0.433 0.433 0.701
Cu: 0.567 0.567 0.299
Se: 0.751 0.751 0.283
Se: 0.216 0.751 0.283
Se: 0.751 0.216 0.283
Se: 0.249 0.784 0.717
Se: 0.784 0.249 0.717
Se: 0.249 0.249 0.717

=====

(6)
VASP calculation (GGA-PBE) on Ac2DyCuSe5 after structural relaxation.

Computed properties:
SG = Cmc2_1 (36)
Calculated volume = 480 Å³ per cell
E = -0.2026 hartree per atom

Unit cell a=4.227 b=9.298 c=12.534 alpha=90.00 beta=90.00 gamma=103.14
Fractional positions:
Ac: 0.877 0.754 0.814
Ac: 0.112 0.223 0.688
Ac: 0.123 0.246 0.314
Ac: 0.888 0.777 0.188
Dy: 0.808 0.616 0.512
Dy: 0.192 0.384 0.012
Cu: 0.564 0.128 0.951
Cu: 0.436 0.872 0.451
Se: 0.353 0.705 0.004
Se: 0.690 0.381 0.855
Se: 0.500 0.000 0.779
Se: 0.291 0.582 0.669
Se: 0.957 0.915 0.551
Se: 0.647 0.295 0.504
Se: 0.310 0.619 0.355
Se: 0.500 0.000 0.279
Se: 0.709 0.418 0.169
Se: 0.043 0.085 0.051

=====

(7)
VASP calculation (GGA-PBE) on AcDyCuSe4 after structural relaxation.

Computed properties:
SG = P2_1/m (11)
Calculated volume = 348 Å³ per cell
E = -0.1926 hartree per atom

Unit cell a=7.129 b=6.006 c=8.516 alpha=90.00 beta=107.18 gamma=90.00
Fractional positions:
Ac: 0.744 0.750 0.934
Ac: 0.256 0.250 0.066
Dy: 0.726 0.750 0.435
Dy: 0.274 0.250 0.565
Cu: 0.252 0.750 0.314
Cu: 0.748 0.250 0.686
Se: 0.017 0.510 0.733
Se: 0.983 0.010 0.267
Se: 0.983 0.490 0.267
Se: 0.017 0.990 0.733
Se: 0.430 0.750 0.117
Se: 0.570 0.250 0.883
Se: 0.430 0.750 0.601
Se: 0.570 0.250 0.399

=====

(8)
VASP calculation (GGA-PBE) on AcDyCu2Se4 after structural relaxation.

Computed properties:
SG = I222 (23)
Calculated volume = 205 Å³ per cell
E = -0.1839 hartree per atom

Unit cell a=6.818 b=6.469 c=6.469 alpha=69.03 beta=58.20 gamma=58.20
Fractional positions:
Ac: 0.000 0.000 0.000
Dy: 0.500 0.500 0.500
Cu: 0.154 0.346 0.346
Cu: 0.846 0.654 0.654
Se: 0.455 0.096 0.508
Se: 0.059 0.904 0.492
Se: 0.941 0.508 0.096
Se: 0.545 0.492 0.904

=====

(9)
VASP calculation (GGA-PBE) on AcDyCuSi after structural relaxation.

Computed properties:
SG = F-43m (216)
Calculated volume = 99 Å³ per cell
E = -0.1778 hartree per atom

Unit cell a=5.191 b=5.191 c=5.191 alpha=60.00 beta=60.00 gamma=60.00
Fractional positions:
Ac: 0.500 0.500 0.500
Si: 0.750 0.750 0.750
Cu: 0.250 0.250 0.250
Dy: 0.000 0.000 0.000

=====

(10)
VASP calculation (GGA-PBE) on AcDyCu2Te4 after structural relaxation.

Computed properties:
SG = I222 (23)
Calculated volume = 249 Å³ per cell
E = -0.1645 hartree per atom

Unit cell a=7.332 b=6.895 c=6.895 alpha=69.90 beta=57.88 gamma=57.88
Fractional positions:
Ac: 0.000 0.000 0.000
Dy: 0.500 0.500 0.500
Cu: 0.145 0.355 0.355
Cu: 0.855 0.645 0.645
Te: 0.453 0.093 0.506
Te: 0.052 0.907 0.494
Te: 0.948 0.506 0.093
Te: 0.547 0.494 0.907

=====

(11)
VASP calculation (GGA-PBE) on Ac2DyCuTe5 after structural relaxation.

Computed properties:
SG = Cmc2_1 (36)
Calculated volume = 582 Å³ per cell
E = -0.1814 hartree per atom

Unit cell a=4.470 b=10.028 c=13.325 alpha=90.00 beta=90.00 gamma=102.88
Fractional positions:
Ac: 0.876 0.752 0.809
Ac: 0.110 0.221 0.688
Ac: 0.124 0.248 0.309
Ac: 0.890 0.779 0.188
Dy: 0.809 0.618 0.510
Dy: 0.191 0.382 0.010
Cu: 0.572 0.144 0.955
Cu: 0.428 0.856 0.455
Te: 0.352 0.704 0.002
Te: 0.691 0.381 0.850
Te: 0.501 0.002 0.786
Te: 0.288 0.575 0.668
Te: 0.956 0.913 0.556
Te: 0.648 0.296 0.502
Te: 0.309 0.619 0.350
Te: 0.499 0.998 0.286
Te: 0.712 0.425 0.168
Te: 0.044 0.087 0.056

=====

(12)
VASP calculation (GGA-PBE) on Ac2ErCu after structural relaxation.

Computed properties:
SG = P4/mmm (123)
Calculated volume = 131 Å³ per cell
E = -0.1547 hartree per atom

Unit cell a=3.837 b=3.837 c=8.892 alpha=90.00 beta=90.00 gamma=90.00
Fractional positions:
Ac: 0.000 0.000 0.791
Ac: 0.000 0.000 0.209
Cu: 0.500 0.500 0.000
Er: 0.500 0.500 0.500

=====

(13)
VASP calculation (GGA-PBE) on AcEr4Cu5 after structural relaxation.

Computed properties:
SG = P4/mmm (123)
Calculated volume = 215 Å³ per cell
E = -0.1657 hartree per atom

Unit cell a=3.487 b=3.487 c=17.702 alpha=90.00 beta=90.00 gamma=90.00
Fractional positions:
Ac: 0.000 0.000 0.000
Er: 0.000 0.000 0.211
Er: 0.000 0.000 0.404
Er: 0.000 0.000 0.596
Er: 0.000 0.000 0.789
Cu: 0.500 0.500 0.122
Cu: 0.500 0.500 0.306
Cu: 0.500 0.500 0.500
Cu: 0.500 0.500 0.694
Cu: 0.500 0.500 0.878

=====

(14)
VASP calculation (GGA-PBE) on AcErCu2 after structural relaxation.

Computed properties:
SG = P4/mmm (123)
Calculated volume = 94 Å³ per cell
E = -0.1610 hartree per atom

Unit cell a=3.605 b=3.605 c=7.245 alpha=90.00 beta=90.00 gamma=90.00
Fractional positions:
Ac: 0.500 0.500 0.500
Cu: 0.000 0.000 0.795
Cu: 0.000 0.000 0.205
Er: 0.500 0.500 0.000

=====

(15)
VASP calculation (GGA-PBE) on AcErCu2 after structural relaxation.

Computed properties:
SG = R-3m (166)
Calculated volume = 101 Å³ per cell
E = -0.1602 hartree per atom

Unit cell a=4.809 b=4.809 c=5.751 alpha=65.29 beta=65.29 gamma=60.00
Fractional positions:
Ac: 0.500 0.500 0.500
Cu: 0.704 0.704 0.887
Cu: 0.296 0.296 0.113
Er: 0.000 0.000 0.000

=====

(16)
VASP calculation (GGA-PBE) on AcEr3Cu after structural relaxation.

Computed properties:
SG = Pm-3m (221)
Calculated volume = 158 Å³ per cell
E = -0.1601 hartree per atom

Unit cell a=5.408 b=5.408 c=5.408 alpha=90.00 beta=90.00 gamma=90.00
Fractional positions:
Ac: 0.500 0.500 0.500
Cu: 0.000 0.000 0.000
Er: 0.000 0.500 0.000
Er: 0.000 0.000 0.500
Er: 0.500 0.000 0.000

=====

(17)
VASP calculation (GGA-PBE) on AcEr2Cu after structural relaxation.

Computed properties:
SG = P4/mmm (123)
Calculated volume = 114 Å³ per cell
E = -0.1615 hartree per atom

Unit cell a=3.577 b=3.577 c=8.911 alpha=90.00 beta=90.00 gamma=90.00
Fractional positions:
Ac: 0.500 0.500 0.500
Cu: 0.500 0.500 0.000
Er: 0.000 0.000 0.818
Er: 0.000 0.000 0.182

=====

(18)
VASP calculation (GGA-PBE) on AcEr2Cu after structural relaxation.

Computed properties:
SG = R-3m (166)
Calculated volume = 126 Å³ per cell
E = -0.1518 hartree per atom

Unit cell a=3.658 b=3.658 c=11.086 alpha=80.50 beta=80.50 gamma=60.00
Fractional positions:
Ac: 0.000 0.000 0.000
Cu: 0.500 0.500 0.500
Er: 0.110 0.110 0.669
Er: 0.890 0.890 0.331

=====

(19)
VASP calculation (GGA-PBE) on AcErCu2 after structural relaxation.

Computed properties:
SG = Fm-3m (225)
Calculated volume = 96 Å³ per cell
E = -0.1589 hartree per atom

Unit cell a=5.143 b=5.143 c=5.143 alpha=60.00 beta=60.00 gamma=60.00
Fractional positions:
Ac: 0.500 0.500 0.500
Cu: 0.250 0.250 0.250
Cu: 0.750 0.750 0.750
Er: 0.000 0.000 0.000

=====

(20)
VASP calculation (GGA-PBE) on Ac2ErCu after structural relaxation.

Computed properties:
SG = R-3m (166)
Calculated volume = 145 Å³ per cell
E = -0.1376 hartree per atom

Unit cell a=3.773 b=3.773 c=11.977 alpha=80.94 beta=80.94 gamma=60.00
Fractional positions:
Ac: 0.083 0.083 0.752
Ac: 0.917 0.917 0.248
Cu: 0.000 0.000 0.000
Er: 0.500 0.500 0.500